Material: Mg3Tl2I8
Method: DFT, GGA-PBE
State: relaxed

For the total moment, the calculation gives 0.000 μB per atom. The calculation puts the energy relative to the elements, uncorrected at -86.6 kJ per mole of atoms.

The space group is C2/m (No. 12) and the conventional cell measures 17.028, 8.666 and 7.559 Å, with angles of 90.00, 106.87 and 90.00 degrees. The inequivalent atoms are Mg at (0.000, 0.000, 0.000), Mg at (0.000, 0.259, 0.500), Tl at (0.241, 0.500, 0.165), I at (0.099, 0.238, 0.892), I at (0.100, 0.000, 0.398) and I at (0.108, 0.500, 0.441).